Entry 1:
TlPt3Br | PBE | optimized geometry

Properties
For the energy relative to the elements, uncorrected, the calculation gives 6.85 eV per formula unit.

Cell: 5.1142 5.1142 5.1142 Å, 90.00 90.00 90.00°
With the nearest neighbours (Å) after each atom.
Space group Pm-3m (No. 221)
Symmetry-distinct sites (fractional):
Tl1 0.0000 0.0000 0.0000 x1  6 Pt 2.56
Pt1 0.0000 0.0000 0.5000 x3  2 Tl 2.56
Br1 0.5000 0.5000 0.5000 x1  12 Pt 3.62

Entry 2:
Sr2InTc | PBE | optimized geometry

Properties
The calculation puts the energy of formation from the pure elements at 503 meV per atom.

Cell: 5.0634 5.0634 9.0173 Å, 90.00 90.00 90.00°
With the nearest neighbours (Å) after each atom.
Space group I4/mmm (No. 139)
Symmetry-distinct sites (fractional):
Sr1 0.0000 0.5000 0.2500 x4  4 In 3.39, 4 Tc 3.39, 4 Sr 3.58
In1 0.0000 0.0000 0.0000 x2  8 Sr 3.39, 4 Tc 3.58
Tc1 0.0000 0.0000 0.5000 x2  8 Sr 3.39, 4 In 3.58

| no. | density (g/cm³) |
| --- | --- |
| 1 | 10.8 |
| 2 | 5.6 |